Compound: Ba4Sr3In
Source: the Alexandria database
Functional: PBE
Structure: optimized geometry

Geometry as CIF:
```
data_Ba4Sr3In
_chemical_formula_sum 'Ba4 Sr3 In1'
_cell_length_a 4.3256
_cell_length_b 4.3256
_cell_length_c 23.2754
_cell_angle_alpha 90.00
_cell_angle_beta 90.00
_cell_angle_gamma 90.00
_symmetry_space_group_name_H-M 'P 1'
_symmetry_Int_Tables_number 1
loop_
_symmetry_equiv_pos_as_xyz
'x,y,z'
loop_
_atom_site_label
_atom_site_type_symbol
_atom_site_fract_x
_atom_site_fract_y
_atom_site_fract_z
_atom_site_occupancy
Ba1 Ba 0.0000 0.0000 0.0864 1
Ba2 Ba 0.0000 0.0000 0.3637 1
Ba3 Ba 0.0000 0.0000 0.6363 1
Ba4 Ba 0.0000 0.0000 0.9136 1
Sr1 Sr 0.5000 0.5000 0.2283 1
Sr2 Sr 0.5000 0.5000 0.5000 1
Sr3 Sr 0.5000 0.5000 0.7717 1
In1 In 0.5000 0.5000 0.0000 1
```

* SG: P4/mmm, No. 123
* energy relative to the elements: -0.099 eV per atom